Rb2MnF | PBE with a Hubbard U | optimized geometry

Structure (POSCAR):
```
Rb2MnF
1.0
-2.8171 2.2249 4.9277
-0.8536 6.0096 0.5700
-5.6070 2.3427 -0.4918
Rb Mn F
2 1 1
direct
0.2500 0.2500 0.2500
0.7500 0.7500 0.7500
0.5000 0.5000 0.5000
0.0000 0.0000 0.0000
```

Results
Volume = 160 Å³/cell
Spin magnetization = 6.0 μB per cell
Space group = No. 225
Energy above the lowest structure with this stoichiometry = 393 meV per atom
Density of states at the Fermi level = 1.658 states/eV/cell